(1)
Material: Mn2FeGeN
Method: DFT, GGA-PBE
State: optimized geometry

Results
- Formation energy (no corrections): -0.826 eV per formula unit
- Symmetry: P4/mmm, No. 123
- Calculated total energy: -40.6 eV per formula unit

```
Mn2FeGeN
1.0
-1.110 -3.540 0.723
1.839 -1.205 -3.075
3.149 -0.559 2.102
Ge Mn Fe N
1 2 1 1
Cartesian
1.939 -2.652 -0.125
-0.555 -1.770 0.361
0.919 -0.602 -1.537
1.574 -0.279 1.051
0.000 0.000 0.000
```


(2)
Material: MnFe2GeN
Method: DFT, GGA-PBE
State: optimized geometry

Results
- Formation energy (no corrections): -0.453 eV per formula unit
- Symmetry: P4/mmm, No. 123
- Calculated total energy: -39.5 eV per formula unit

```
MnFe2GeN
1.0
3.814 0.000 0.000
0.000 3.814 0.000
0.000 0.000 3.832
Mn Fe N Ge
1 2 1 1
Cartesian
0.000 0.000 1.916
1.907 0.000 0.000
0.000 1.907 0.000
0.000 0.000 0.000
1.907 1.907 1.916
```


(3)
Material: Mn2Nb2Fe5Ge
Method: DFT, GGA-PBE
State: optimized geometry

Results
- DFT formation energy: 74 meV per atom
- Symmetry: P4/mbm, No. 127
- Calculated total energy: -84.7 eV per formula unit

```
Mn2Nb2Fe5Ge
1.0
3.671 0.000 0.000
0.000 8.406 0.000
0.000 0.000 8.406
Fe Ge Nb Mn
10 2 4 4
Cartesian
1.835 0.000 4.203
1.835 7.911 1.744
1.835 2.459 4.698
1.835 5.947 3.708
1.835 1.744 0.495
1.835 6.662 7.911
1.835 0.495 6.662
1.835 3.708 2.459
1.835 4.698 5.947
1.835 4.203 0.000
0.000 4.203 4.203
0.000 0.000 0.000
0.000 6.888 5.721
0.000 5.721 1.518
0.000 2.685 6.888
0.000 1.518 2.685
0.000 3.218 0.985
0.000 5.188 7.421
0.000 0.985 5.188
0.000 7.421 3.218
```


(4)
Material: NdMnFeGe3
Method: DFT, GGA-PBE
State: optimized geometry

Results
- DFT formation energy: -192 meV per atom
- Symmetry: Cmcm, No. 63
- Calculated total energy: -37.4 eV per formula unit

```
NdMnFeGe3
1.0
-1.498 5.490 1.550
0.618 -1.770 6.867
5.001 2.362 -3.531
Ge Mn Nd Fe
6 2 2 2
Cartesian
0.155 -0.443 1.719
1.776 3.953 4.549
-0.286 1.418 5.923
-0.594 2.302 2.494
2.346 2.129 0.338
0.463 -1.327 5.148
0.188 1.529 0.377
3.933 4.553 4.509
1.564 4.865 1.114
2.558 1.217 3.773
4.487 2.724 0.299
-0.366 3.357 4.588
```


(5)
Material: MnFeNiGe
Method: DFT, GGA-PBE
State: optimized geometry

Results
- DFT formation energy: -145 meV per atom
- Symmetry: F-43m, No. 216
- Calculated total energy: -28.6 eV per formula unit

```
MnFeNiGe
1.0
-0.919 0.116 -3.975
2.878 -0.789 -2.784
-0.146 -3.458 -2.163
Ge Ni Fe Mn
1 1 1 1
Cartesian
1.360 -3.098 -6.691
0.906 -2.065 -4.460
0.000 0.000 0.000
0.453 -1.033 -2.230
```


(6)
Material: NpMnFeGe
Method: DFT, GGA-PBE
State: optimized geometry

Results
- DFT formation energy: -7 meV per atom
- Symmetry: F-43m, No. 216
- Calculated total energy: -35.2 eV per formula unit

```
NpMnFeGe
1.0
-2.921 1.617 2.802
-4.145 -1.341 -0.156
-1.597 -2.519 3.179
Mn Np Ge Fe
1 1 1 1
Cartesian
-4.331 -1.121 2.912
-6.497 -1.682 4.368
-2.166 -0.561 1.456
0.000 0.000 0.000
```


Number 1: Fermi-level density of states 0.7624 states/eV/atom. Number 2: Fermi-level density of states 1.0347 states/eV/atom. Number 3: Fermi-level density of states 1.2512 states/eV/atom. Number 4: Fermi-level density of states 0.5762 states/eV/atom. Number 5: Fermi-level density of states 0.4985 states/eV/atom. Number 6: Fermi-level density of states 1.0421 states/eV/atom.